No. 1
Computed, not measured: crystalline Ba2Ca2Ti3Tl2O10 at its relaxed geometry at the GGA-PBE level of DFT.

## Properties
Total energy   -7.0223 eV/atom
Energy relative to the elements, uncorrected   -47.6 eV per formula unit

a = 5.4084 Å, b = 5.4085 Å, c = 22.8512 Å
α = 90.00°, β = 96.72°, γ = 90.00°
Space group C2 (No. 5)
Inequivalent atoms, fractional coordinates:
Ba  0.1470  0.0000  0.2975 [4 per cell]
Ca  0.0446  0.0003  0.0909 [4 per cell]
Ti  0.0000  0.5004  0.0000 [2 per cell]
Ti  0.0858  0.5004  0.1741 [4 per cell]
Tl  0.2187  0.5010  0.4395 [4 per cell]
O  0.0663  0.7505  0.6282 [4 per cell]
O  0.1244  0.5004  0.2523 [4 per cell]
O  0.1744  0.2503  0.8465 [4 per cell]
O  0.1760  0.7503  0.8496 [4 per cell]
O  0.2423  0.2504  0.9844 [4 per cell]

***

No. 2
Computed, not measured: crystalline BaCa2TlO4 at its relaxed geometry at the GGA-PBE level of DFT.

## Properties
Total energy   -5.5884 eV/atom
Energy relative to the elements, uncorrected   -16.6 eV per formula unit

a = 3.5545 Å, b = 12.4671 Å, c = 12.7964 Å
α = 90.00°, β = 90.00°, γ = 90.00°
Space group Cmcm (No. 63)
Inequivalent atoms, fractional coordinates:
Ba  0.0000  0.1488  0.2500 [4 per cell]
Ca  0.0000  0.3722  0.0256 [8 per cell]
Tl  0.0000  0.1188  0.7500 [4 per cell]
O  0.0000  0.0000  0.0000 [4 per cell]
O  0.0000  0.2461  0.6088 [8 per cell]
O  0.0000  0.4940  0.2500 [4 per cell]

***

No. 3
Computed, not measured: crystalline Ba2CaTlO5 at its relaxed geometry at the GGA-PBE level of DFT.

## Properties
Total energy   -5.5901 eV/atom
Energy relative to the elements, uncorrected   -17.3 eV per formula unit

a = 3.7710 Å, b = 14.9542 Å, c = 11.2620 Å
α = 90.00°, β = 90.00°, γ = 90.00°
Space group Cmc2_1 (No. 36)
Inequivalent atoms, fractional coordinates:
Ba  0.0000  0.1089  0.0000 [4 per cell]
Ba  0.0000  0.1366  0.6069 [4 per cell]
Ca  0.0000  0.2181  0.3205 [4 per cell]
Tl  0.0000  0.4707  0.7782 [4 per cell]
O  0.0000  0.0608  0.3718 [4 per cell]
O  0.0000  0.2809  0.9571 [4 per cell]
O  0.0000  0.3159  0.6958 [4 per cell]
O  0.0000  0.3748  0.3124 [4 per cell]
O  0.0000  0.4951  0.0896 [4 per cell]

***

total energy of number 3 (Ba2CaTlO5)? -5.5901 eV/atom